(1)
# InTeBr PBE-GGA relaxed
data_InTeBr
_symmetry_space_group_name_H-M 'P 1'
_symmetry_Int_Tables_number 1
_cell_length_a 5.144
_cell_length_b 5.144
_cell_length_c 5.144
_cell_angle_alpha 60.00
_cell_angle_beta 60.00
_cell_angle_gamma 60.00
loop_
_symmetry_equiv_pos_as_xyz
'x,y,z'
loop_
_atom_site_label
_atom_site_type_symbol
_atom_site_fract_x
_atom_site_fract_y
_atom_site_fract_z
Te1 Te 0.000 0.000 0.000
In1 In 0.750 0.750 0.750
Br1 Br 0.500 0.500 0.500
# space-group type	No. 216
# total DFT energy (no corrections)	-2.728	eV/atom
# formation energy (no corrections)	-61	kJ/mol of formula units

=====

(2)
# DyHoMg2 PBE-GGA relaxed
data_DyHoMg2
_symmetry_space_group_name_H-M 'P 1'
_symmetry_Int_Tables_number 1
_cell_length_a 5.345
_cell_length_b 5.345
_cell_length_c 5.345
_cell_angle_alpha 60.00
_cell_angle_beta 60.00
_cell_angle_gamma 60.00
loop_
_symmetry_equiv_pos_as_xyz
'x,y,z'
loop_
_atom_site_label
_atom_site_type_symbol
_atom_site_fract_x
_atom_site_fract_y
_atom_site_fract_z
Ho1 Ho 0.000 0.000 0.000
Mg1 Mg 0.750 0.750 0.750
Mg2 Mg 0.250 0.250 0.250
Dy1 Dy 0.500 0.500 0.500
# formation energy from the elements	-80	meV/atom
# space-group type	No. 225
# total DFT energy (no corrections)	-3.172	eV/atom

=====

(3)
# LaHgN2F PBE-GGA relaxed
data_LaHgN2F
_symmetry_space_group_name_H-M 'P 1'
_symmetry_Int_Tables_number 1
_cell_length_a 4.202
_cell_length_b 4.202
_cell_length_c 4.507
_cell_angle_alpha 90.00
_cell_angle_beta 90.00
_cell_angle_gamma 90.00
loop_
_symmetry_equiv_pos_as_xyz
'x,y,z'
loop_
_atom_site_label
_atom_site_type_symbol
_atom_site_fract_x
_atom_site_fract_y
_atom_site_fract_z
Hg1 Hg 0.000 0.000 0.000
N1 N 0.500 0.000 0.000
La1 La 0.500 0.500 0.500
N2 N 0.000 0.500 0.000
F1 F 0.000 0.000 0.500
# space-group type	No. 123
# total DFT energy (no corrections)	-4.828	eV/atom
# formation energy (no corrections)	-38	kJ/mol of formula units
# energy above the most stable polymorph in this dataset	0.000	eV per atom

=====

(4)
# Li2AcTbCd4 PBE-GGA relaxed
data_Li2AcTbCd4
_symmetry_space_group_name_H-M 'P 1'
_symmetry_Int_Tables_number 1
_cell_length_a 5.039
_cell_length_b 5.039
_cell_length_c 9.758
_cell_angle_alpha 75.04
_cell_angle_beta 75.04
_cell_angle_gamma 60.00
loop_
_symmetry_equiv_pos_as_xyz
'x,y,z'
loop_
_atom_site_label
_atom_site_type_symbol
_atom_site_fract_x
_atom_site_fract_y
_atom_site_fract_z
Li1 Li 0.239 0.239 0.283
Li2 Li 0.761 0.761 0.717
Cd1 Cd 0.608 0.608 0.176
Cd2 Cd 0.123 0.123 0.631
Cd3 Cd 0.392 0.392 0.824
Cd4 Cd 0.877 0.877 0.369
Tb1 Tb 0.500 0.500 0.500
Ac1 Ac 0.000 0.000 0.000
# formation energy from the elements	-237	meV/atom
# space-group type	No. 166
# total DFT energy (no corrections)	-2.265	eV/atom

=====

(5)
# GaBi2Br2 PBE-GGA relaxed
data_GaBi2Br2
_symmetry_space_group_name_H-M 'P 1'
_symmetry_Int_Tables_number 1
_cell_length_a 7.831
_cell_length_b 7.831
_cell_length_c 5.725
_cell_angle_alpha 90.00
_cell_angle_beta 90.00
_cell_angle_gamma 90.00
loop_
_symmetry_equiv_pos_as_xyz
'x,y,z'
loop_
_atom_site_label
_atom_site_type_symbol
_atom_site_fract_x
_atom_site_fract_y
_atom_site_fract_z
Br1 Br 0.307 0.807 0.500
Bi1 Bi 0.144 0.356 0.000
Ga1 Ga 0.500 0.500 0.000
Br2 Br 0.807 0.693 0.500
Bi2 Bi 0.356 0.856 0.000
Br3 Br 0.193 0.307 0.500
Br4 Br 0.693 0.193 0.500
Ga2 Ga 0.000 0.000 0.000
Bi3 Bi 0.644 0.144 0.000
Bi4 Bi 0.856 0.644 0.000
# space-group type	No. 127
# total DFT energy (no corrections)	-3.015	eV/atom
# formation energy (no corrections)	-91	kJ/mol of formula units

=====

(6)
# Li2SmEr2Bi2 PBE-GGA relaxed
data_Li2SmEr2Bi2
_symmetry_space_group_name_H-M 'P 1'
_symmetry_Int_Tables_number 1
_cell_length_a 4.877
_cell_length_b 4.877
_cell_length_c 9.330
_cell_angle_alpha 74.85
_cell_angle_beta 74.85
_cell_angle_gamma 60.00
loop_
_symmetry_equiv_pos_as_xyz
'x,y,z'
loop_
_atom_site_label
_atom_site_type_symbol
_atom_site_fract_x
_atom_site_fract_y
_atom_site_fract_z
Er1 Er 0.132 0.132 0.603
Bi1 Bi 0.264 0.264 0.209
Bi2 Bi 0.736 0.736 0.791
Li1 Li 0.415 0.415 0.756
Sm1 Sm 0.000 0.000 0.000
Li2 Li 0.585 0.585 0.244
Er2 Er 0.868 0.868 0.397
# formation energy from the elements	-378	meV/atom
# space-group type	No. 166
# total DFT energy (no corrections)	-4.011	eV/atom

=====

(7)
# Er7Ni2Pt2 PBE-GGA relaxed
data_Er7Ni2Pt2
_symmetry_space_group_name_H-M 'P 1'
_symmetry_Int_Tables_number 1
_cell_length_a 6.471
_cell_length_b 6.754
_cell_length_c 6.471
_cell_angle_alpha 90.00
_cell_angle_beta 108.23
_cell_angle_gamma 90.00
loop_
_symmetry_equiv_pos_as_xyz
'x,y,z'
loop_
_atom_site_label
_atom_site_type_symbol
_atom_site_fract_x
_atom_site_fract_y
_atom_site_fract_z
Pt1 Pt 0.193 0.500 0.193
Pt2 Pt 0.807 0.500 0.807
Er1 Er 0.500 0.259 0.000
Er2 Er 0.000 0.259 0.500
Er3 Er 0.500 0.254 0.500
Er4 Er 0.500 0.741 0.000
Er5 Er 0.500 0.746 0.500
Er6 Er 0.000 0.000 0.000
Ni1 Ni 0.288 0.000 0.712
Ni2 Ni 0.712 0.000 0.288
Er7 Er 0.000 0.741 0.500
# formation energy from the elements	-479	meV/atom
# space-group type	No. 65
# total DFT energy (no corrections)	-5.532	eV/atom

=====

(8)
# Nb3FeW PBE-GGA relaxed
data_Nb3FeW
_symmetry_space_group_name_H-M 'P 1'
_symmetry_Int_Tables_number 1
_cell_length_a 4.538
_cell_length_b 4.538
_cell_length_c 4.538
_cell_angle_alpha 90.00
_cell_angle_beta 90.00
_cell_angle_gamma 90.00
loop_
_symmetry_equiv_pos_as_xyz
'x,y,z'
loop_
_atom_site_label
_atom_site_type_symbol
_atom_site_fract_x
_atom_site_fract_y
_atom_site_fract_z
Nb1 Nb 0.000 0.500 0.000
W1 W 0.500 0.500 0.500
Nb2 Nb 0.000 0.000 0.500
Fe1 Fe 0.000 0.000 0.000
Nb3 Nb 0.500 0.000 0.000
# formation energy from the elements	962	meV/atom
# space-group type	No. 221
# total DFT energy (no corrections)	-9.363	eV/atom

=====

(9)
# HfTa3Nb PBE-GGA relaxed
data_HfTa3Nb
_symmetry_space_group_name_H-M 'P 1'
_symmetry_Int_Tables_number 1
_cell_length_a 4.856
_cell_length_b 4.856
_cell_length_c 4.856
_cell_angle_alpha 90.00
_cell_angle_beta 90.00
_cell_angle_gamma 90.00
loop_
_symmetry_equiv_pos_as_xyz
'x,y,z'
loop_
_atom_site_label
_atom_site_type_symbol
_atom_site_fract_x
_atom_site_fract_y
_atom_site_fract_z
Ta1 Ta 0.000 0.000 0.500
Ta2 Ta 0.500 0.000 0.000
Ta3 Ta 0.000 0.500 0.000
Nb1 Nb 0.000 0.000 0.000
Hf1 Hf 0.500 0.500 0.500
# formation energy from the elements	1396	meV/atom
# space-group type	No. 221
# total DFT energy (no corrections)	-9.720	eV/atom
# energy above the most stable polymorph in this dataset	1.340	eV per atom

=====

(10)
# Cs3BaAs2O8 PBE-GGA relaxed
data_Cs3BaAs2O8
_symmetry_space_group_name_H-M 'P 1'
_symmetry_Int_Tables_number 1
_cell_length_a 6.510
_cell_length_b 6.510
_cell_length_c 8.630
_cell_angle_alpha 90.00
_cell_angle_beta 90.00
_cell_angle_gamma 120.00
loop_
_symmetry_equiv_pos_as_xyz
'x,y,z'
loop_
_atom_site_label
_atom_site_type_symbol
_atom_site_fract_x
_atom_site_fract_y
_atom_site_fract_z
O1 O 0.812 0.188 0.686
Ba1 Ba 0.000 0.000 0.500
O2 O 0.812 0.623 0.686
As1 As 0.333 0.667 0.249
O3 O 0.333 0.667 0.049
Cs1 Cs 0.667 0.333 0.289
O4 O 0.188 0.812 0.314
As2 As 0.667 0.333 0.751
O5 O 0.667 0.333 0.951
O6 O 0.377 0.188 0.686
Cs2 Cs 0.000 0.000 0.000
O7 O 0.188 0.377 0.314
Cs3 Cs 0.333 0.667 0.711
O8 O 0.623 0.812 0.314
# space-group type	No. 164
# total DFT energy (no corrections)	-5.549	eV/atom
# formation energy (no corrections)	-2338	kJ/mol of formula units

=====

(11)
# ZrMn3 PBE-GGA relaxed
data_ZrMn3
_symmetry_space_group_name_H-M 'P 1'
_symmetry_Int_Tables_number 1
_cell_length_a 4.309
_cell_length_b 4.309
_cell_length_c 4.309
_cell_angle_alpha 90.00
_cell_angle_beta 120.00
_cell_angle_gamma 60.00
loop_
_symmetry_equiv_pos_as_xyz
'x,y,z'
loop_
_atom_site_label
_atom_site_type_symbol
_atom_site_fract_x
_atom_site_fract_y
_atom_site_fract_z
Mn1 Mn 0.000 0.000 0.000
Mn2 Mn 0.500 0.250 0.250
Mn3 Mn 0.000 0.500 0.500
Zr1 Zr 0.500 0.750 0.750
# formation energy from the elements	139	meV/atom
# space-group type	No. 225
# total DFT energy (no corrections)	-8.876	eV/atom

=====

(12)
# CsBaRh3 PBE-GGA relaxed
data_CsBaRh3
_symmetry_space_group_name_H-M 'P 1'
_symmetry_Int_Tables_number 1
_cell_length_a 5.102
_cell_length_b 5.102
_cell_length_c 5.102
_cell_angle_alpha 90.00
_cell_angle_beta 90.00
_cell_angle_gamma 90.00
loop_
_symmetry_equiv_pos_as_xyz
'x,y,z'
loop_
_atom_site_label
_atom_site_type_symbol
_atom_site_fract_x
_atom_site_fract_y
_atom_site_fract_z
Ba1 Ba 0.500 0.500 0.500
Rh1 Rh 0.500 0.000 0.000
Rh2 Rh 0.000 0.000 0.500
Rh3 Rh 0.000 0.500 0.000
Cs1 Cs 0.000 0.000 0.000
# formation energy from the elements	1266	meV/atom
# space-group type	No. 221
# total DFT energy (no corrections)	-3.700	eV/atom
# energy above the most stable polymorph in this dataset	0.000	eV per atom